AuCI2O | GGA-PBE | optimized geometry

## Properties
Energy above the lowest structure with this stoichiometry (eV/atom): 0.645
Energy relative to the elements, uncorrected (eV/atom): 1.63

Cell: 5.706 5.706 3.957 Å, 90.00 90.00 90.00°
Element x y z (fractional)
Au 0.000 0.000 0.000
C 0.500 0.500 0.500
I 0.000 0.500 0.000
I 0.500 0.000 0.000
O 0.000 0.000 0.500